# AcScSiO5

A relaxed structure of AcScSiO5 (PBE, the Alexandria database).

The structure in extended XYZ format:
```
16
Lattice="5.826 -0.021 0.070 -1.721 5.566 0.070 -1.623 -2.192 6.739" Properties=species:S:1:pos:R:3 pbc="T T T"
O -1.508 4.560 1.755
O 3.168 -0.221 2.599
O -1.948 1.869 5.969
O 3.990 -1.207 5.124
O 1.783 1.210 0.650
O -0.175 0.963 4.020
O 0.699 2.144 6.228
Si 3.025 1.204 1.755
O 2.657 2.390 2.859
Sc -0.811 -1.096 3.369
Si -0.543 2.149 5.124
Ac 0.390 3.155 1.755
Sc 0.000 0.000 0.000
O -0.685 3.574 4.279
Ac 2.093 0.198 5.124
O 4.430 1.484 0.910
```

Properties
formation energy without anion corrections: -3.288 eV per atom
magnetization: 0.000 μB per atom
density: 5.7 Mg/m³

# AcScSi2O8

A relaxed structure of AcScSi2O8 (PBE, the Alexandria database).

The structure in extended XYZ format:
```
12
Lattice="-0.328 0.732 -5.320 3.782 -3.236 2.042 -4.483 -5.548 -0.487" Properties=species:S:1:pos:R:3 pbc="T T T"
Ac 0.000 0.000 0.000
O 0.883 -3.236 -3.225
O 1.015 -0.624 -2.869
Si -1.006 -6.143 -0.783
Si -0.023 -1.908 -2.982
O -1.912 -4.815 -0.539
O -0.841 -1.988 -1.579
O -2.044 -7.427 -0.896
O -0.188 -6.064 -2.186
Sc -2.242 -2.774 -0.243
O -0.017 -6.435 0.474
O -1.012 -1.616 -4.238
```

Properties
formation energy without anion corrections: -2.699 eV per atom
magnetization: 0.167 μB per atom
density: 4.2 Mg/m³

# Ac2SmScO6

A relaxed structure of Ac2SmScO6 (PBE, the Alexandria database).

The structure in extended XYZ format:
```
20
Lattice="5.974 0.000 -0.040 0.000 6.135 0.000 -0.006 0.000 8.562" Properties=species:S:1:pos:R:3 pbc="T T T"
O 4.697 4.956 4.737
Ac 2.903 2.779 2.117
Sc 0.000 3.067 0.000
O 1.849 4.366 3.746
O 1.270 1.179 3.785
O 5.319 3.340 2.006
O 2.329 5.862 6.308
O 0.649 2.795 6.515
O 1.135 1.299 0.515
Ac 0.081 5.847 2.144
Sm -0.003 3.067 4.281
Sc 2.984 0.000 4.261
O 4.118 1.768 4.776
Sm 2.987 0.000 -0.020
O 1.714 4.246 0.476
O 4.254 1.888 8.046
Ac 5.887 0.288 6.378
Ac 3.065 3.355 6.405
O 4.833 4.836 8.007
O 3.638 0.272 2.214
```

Properties
formation energy without anion corrections: -3.403 eV per atom
magnetization: 0.000 μB per atom
density: 7.9 Mg/m³

# Ac2ScSnO6

A relaxed structure of Ac2ScSnO6 (PBE, the Alexandria database).

The structure in extended XYZ format:
```
20
Lattice="5.917 0.000 -0.012 0.000 6.086 0.000 0.036 0.000 8.455" Properties=species:S:1:pos:R:3 pbc="T T T"
O 2.385 5.855 6.412
O 1.808 4.331 0.474
O 1.169 1.287 3.748
Sc 0.018 3.043 4.228
O 5.326 3.275 2.179
Ac 0.083 5.789 2.110
Sn 0.000 3.043 0.000
Sn 2.976 0.000 4.222
O 1.725 4.236 3.781
O 4.228 1.851 4.663
O 1.252 1.192 0.441
O 3.568 0.232 2.031
O 4.145 1.756 7.970
Ac 5.869 0.297 6.334
Ac 2.893 2.746 2.112
O 4.784 4.799 4.696
Ac 3.060 3.341 6.332
Sc 2.958 0.000 -0.006
O 4.701 4.894 8.003
O 0.627 2.812 6.265
```

Properties
formation energy without anion corrections: -2.855 eV per atom
magnetization: 0.000 μB per atom
density: 7.8 Mg/m³

# SrAc2ScO6

A relaxed structure of SrAc2ScO6 (PBE, the Alexandria database).

The structure in extended XYZ format:
```
20
Lattice="-4.070 -3.739 -2.302 4.309 -4.600 -0.148 -2.338 -2.445 7.943" Properties=species:S:1:pos:R:3 pbc="T T T"
Sr -2.035 -1.869 -1.151
O 0.049 -1.843 0.219
Ac -0.616 -4.451 0.728
Ac -1.483 -6.333 4.764
O -2.148 -8.941 5.273
O 0.778 -5.552 2.463
O -2.877 -5.232 3.030
Sr 0.985 -3.523 3.897
O -0.946 -8.140 2.411
Sc 2.155 -2.300 -0.074
O -1.153 -2.644 3.081
O -2.868 -3.332 0.714
Sc -3.204 -3.092 2.820
O -1.631 -6.462 -0.291
O 1.564 -4.307 -0.385
O -0.468 -4.323 5.783
Ac 3.407 -5.041 1.886
Ac -5.506 -5.743 3.606
O -3.663 -6.477 5.878
O 0.769 -7.453 4.779
```

Properties
formation energy without anion corrections: -3.029 eV per atom
magnetization: 0.108 μB per atom
density: 7.0 Mg/m³

# AcScTaO6

A relaxed structure of AcScTaO6 (PBE, the Alexandria database).

The structure in extended XYZ format:
```
18
Lattice="5.074 0.000 0.000 0.000 5.074 0.000 0.000 0.000 10.244" Properties=species:S:1:pos:R:3 pbc="T T T"
O 1.410 1.410 7.094
O 1.495 1.495 3.049
Sc 2.537 2.537 8.551
O 1.127 3.947 1.972
O 3.579 3.579 3.049
Ac 2.537 2.537 5.155
Ta 2.537 2.537 1.721
O 4.224 0.850 5.192
O 4.031 1.042 8.171
O 3.947 1.127 1.972
O 1.687 1.687 0.070
O 3.387 3.387 0.070
Ta 0.000 0.000 6.843
O 3.664 3.664 7.094
Ac 0.000 0.000 0.033
O 0.850 4.224 5.192
Sc 0.000 0.000 3.429
O 1.042 4.031 8.171
```

Properties
formation energy without anion corrections: -2.933 eV per atom
magnetization: 0.096 μB per atom
density: 6.9 Mg/m³

# Ac2TbScO6

A relaxed structure of Ac2TbScO6 (PBE, the Alexandria database).

The structure in extended XYZ format:
```
20
Lattice="5.943 0.000 -0.034 0.000 6.077 0.000 0.003 0.000 8.492" Properties=species:S:1:pos:R:3 pbc="T T T"
O 5.331 3.277 2.020
O 1.709 4.233 0.453
O 1.159 1.283 0.476
O 1.814 4.322 3.753
O 1.264 1.194 3.776
O 3.586 0.238 2.175
O 2.361 5.839 6.283
Sc 2.973 0.000 4.229
O 4.132 1.756 4.705
Ac 5.872 0.272 6.334
Ac 3.047 3.311 6.352
Tb 2.972 0.000 -0.017
Ac 0.074 5.805 2.123
O 4.787 4.794 7.981
Sc 0.000 3.039 0.000
Tb 0.001 3.039 4.246
O 4.237 1.844 8.004
Ac 2.899 2.766 2.106
O 4.682 4.883 4.682
O 0.615 2.800 6.438
```

Properties
formation energy without anion corrections: -3.455 eV per atom
magnetization: 0.000 μB per atom
density: 8.2 Mg/m³

# Ac2ScTcO8

A relaxed structure of Ac2ScTcO8 (PBE, the Alexandria database).

The structure in extended XYZ format:
```
12
Lattice="-5.225 -0.851 -0.924 3.466 -2.994 -4.342 -1.278 -4.596 4.081" Properties=species:S:1:pos:R:3 pbc="T T T"
O -3.002 -7.203 0.283
O 1.236 -6.310 -1.283
O -0.035 -1.238 -1.468
Sc -0.639 -2.298 2.040
O -4.273 -2.131 0.098
O -0.864 -3.542 0.471
Ac -0.827 -5.879 0.072
O 1.859 -3.752 -3.648
Tc 0.000 0.000 0.000
O -2.173 -4.899 -1.656
Ac -2.210 -2.562 -1.257
O -4.896 -4.689 2.463
```

Properties
formation energy without anion corrections: -2.602 eV per atom
magnetization: 0.000 μB per atom
density: 6.2 Mg/m³

# AcScTc2O8

A relaxed structure of AcScTc2O8 (PBE, the Alexandria database).

The structure in extended XYZ format:
```
12
Lattice="5.825 0.000 0.000 -2.912 5.044 0.000 0.000 0.000 7.001" Properties=species:S:1:pos:R:3 pbc="T T T"
O -1.552 4.268 4.907
O 2.921 3.479 2.093
Ac 0.000 0.000 0.000
O 4.465 0.776 2.093
O 1.560 4.254 4.907
O 2.912 1.681 6.840
Tc 0.000 3.363 5.355
O 0.000 3.363 0.161
O -0.008 1.566 4.907
Sc 0.000 0.000 3.500
Tc 2.912 1.681 1.646
O 1.352 0.790 2.093
```

Properties
formation energy without anion corrections: -2.110 eV per atom
magnetization: 0.333 μB per atom
density: 4.8 Mg/m³

# Ac2ScTcO6

A relaxed structure of Ac2ScTcO6 (PBE, the Alexandria database).

The structure in extended XYZ format:
```
20
Lattice="5.781 0.000 0.000 0.000 5.782 0.000 0.000 0.000 8.190" Properties=species:S:1:pos:R:3 pbc="T T T"
Ac 2.890 4.338 6.143
Ac 0.000 1.445 6.142
O 1.452 0.006 4.095
O 1.452 2.883 4.095
O 2.890 1.445 6.133
O 4.343 5.776 0.000
O 2.890 1.445 2.057
O 1.438 5.776 0.000
O 4.329 2.883 4.095
O 4.342 2.899 0.000
Tc 0.000 4.337 0.000
Tc 2.890 1.445 4.095
Ac 2.890 4.338 2.047
O 1.438 2.899 0.000
Sc 2.890 1.446 0.000
O 0.000 4.338 6.152
O 0.000 4.338 2.038
O 4.328 0.006 4.095
Ac 0.000 1.445 2.048
Sc 0.000 4.336 4.095
```

Properties
formation energy without anion corrections: -2.805 eV per atom
magnetization: 0.200 μB per atom
density: 8.4 Mg/m³

# AcSc2TeO8

A relaxed structure of AcSc2TeO8 (PBE, the Alexandria database).

The structure in extended XYZ format:
```
12
Lattice="-4.461 -1.250 -1.329 1.485 -4.518 -0.776 -1.535 -1.658 6.710" Properties=species:S:1:pos:R:3 pbc="T T T"
O -1.795 -2.813 2.630
O -3.615 -2.222 0.128
O -2.716 -4.613 1.974
Sc -2.678 -4.169 4.150
O -0.896 -5.204 4.476
Te 0.000 0.000 0.000
Ac -0.768 -0.829 3.355
O -4.532 -3.212 4.136
O 0.021 -4.214 0.468
Sc -1.833 -3.256 0.454
O -3.647 -5.757 5.214
O -0.864 -1.668 -0.610
```

Properties
formation energy without anion corrections: -2.435 eV per atom
magnetization: 0.017 μB per atom
density: 5.8 Mg/m³

# AcScTeO6

A relaxed structure of AcScTeO6 (PBE, the Alexandria database).

The structure in extended XYZ format:
```
9
Lattice="-0.456 -0.066 5.403 3.778 -2.463 3.010 2.744 4.561 0.287" Properties=species:S:1:pos:R:3 pbc="T T T"
Ac 2.289 4.495 5.690
Sc 3.587 0.594 5.752
O 2.156 0.438 1.295
O 3.029 2.299 4.617
O 0.607 1.233 3.478
O 1.866 3.150 2.225
Te 2.480 1.437 2.948
O 2.962 -0.210 3.890
O 4.259 1.713 2.180
```

Properties
formation energy without anion corrections: -2.511 eV per atom
magnetization: 0.000 μB per atom
density: 6.1 Mg/m³

# Ac2ScTeO8

A relaxed structure of Ac2ScTeO8 (PBE, the Alexandria database).

The structure in extended XYZ format:
```
12
Lattice="-0.386 -5.261 0.345 5.009 -0.027 1.692 -2.242 0.601 6.648" Properties=species:S:1:pos:R:3 pbc="T T T"
Te 0.000 0.000 0.000
O 0.046 -4.257 2.008
O 2.225 -3.517 4.797
O 3.419 -3.889 1.505
O -1.229 -3.915 5.790
Sc -1.121 0.300 3.324
Ac 0.628 -2.193 6.010
O 3.610 -0.773 2.895
O 2.335 -0.431 6.677
O -1.038 -0.798 7.180
O 0.156 -1.170 3.888
Ac 1.753 -2.494 2.675
```

Properties
formation energy without anion corrections: -2.339 eV per atom
magnetization: 0.002 μB per atom
density: 6.4 Mg/m³

# AcScTeO2

A relaxed structure of AcScTeO2 (PBE, the Alexandria database).

The structure in extended XYZ format:
```
5
Lattice="-0.763 -4.008 0.772 -0.440 -0.700 -4.069 6.473 -1.324 -0.473" Properties=species:S:1:pos:R:3 pbc="T T T"
O 5.147 -3.925 -4.119
Te 2.845 -0.582 -0.208
O 5.749 -1.571 -2.471
Sc -0.374 -0.713 -4.074
Ac 3.966 -3.288 -1.982
```

Properties
formation energy without anion corrections: -2.818 eV per atom
magnetization: 0.000 μB per atom
density: 6.3 Mg/m³

# AcScTe2O

A relaxed structure of AcScTe2O (PBE, the Alexandria database).

The structure in extended XYZ format:
```
10
Lattice="4.261 0.000 0.000 0.000 4.261 0.000 0.000 0.000 15.287" Properties=species:S:1:pos:R:3 pbc="T T T"
Te 0.000 2.130 1.353
Ac 2.130 0.000 8.919
Te 2.130 0.000 4.404
O 0.000 0.000 7.643
Ac 0.000 2.130 6.368
O 2.130 2.130 7.643
Sc 0.000 2.130 13.592
Sc 2.130 0.000 1.695
Te 0.000 2.130 10.883
Te 2.130 0.000 13.934
```

Properties
formation energy without anion corrections: -2.039 eV per atom
magnetization: 0.000 μB per atom
density: 6.5 Mg/m³

# Ac2ScTiO6

A relaxed structure of Ac2ScTiO6 (PBE, the Alexandria database).

The structure in extended XYZ format:
```
20
Lattice="5.788 0.000 -0.027 0.000 5.787 0.000 0.012 0.000 8.172" Properties=species:S:1:pos:R:3 pbc="T T T"
O 0.411 2.826 6.160
O 2.500 5.720 6.084
Ac 5.766 0.202 6.112
Ti 0.000 2.893 0.000
Sc 0.006 2.893 4.086
O 1.225 1.266 0.307
Sc 2.894 0.000 -0.014
Ti 2.900 0.000 4.072
O 1.675 4.159 3.765
O 5.389 2.960 1.984
O 1.627 4.111 0.282
Ac 2.934 3.095 6.104
O 4.575 4.521 7.837
Ac 0.034 5.585 2.032
Ac 2.866 2.692 2.040
O 3.300 0.067 2.061
O 4.125 1.628 4.379
O 4.527 4.569 4.355
O 1.273 1.218 3.790
O 4.173 1.675 7.862
```

Properties
formation energy without anion corrections: -3.327 eV per atom
magnetization: 0.101 μB per atom
density: 7.8 Mg/m³

# AcScTl2O6

A relaxed structure of AcScTl2O6 (PBE, the Alexandria database).

The structure in extended XYZ format:
```
10
Lattice="5.878 0.000 0.000 2.939 5.091 0.000 2.939 1.697 5.145" Properties=species:S:1:pos:R:3 pbc="T T T"
O 6.809 2.095 3.945
Sc 2.939 1.697 0.266
O 4.796 5.186 1.237
Tl 5.879 3.394 2.083
O 6.538 4.849 3.945
Ac 8.818 5.091 3.103
Tl 2.939 1.697 4.802
O 4.868 1.560 1.237
O 4.288 3.238 3.945
O 7.972 3.436 1.237
```

Properties
formation energy without anion corrections: -1.995 eV per atom
magnetization: 0.000 μB per atom
density: 8.4 Mg/m³

# Ac2TmScO6

A relaxed structure of Ac2TmScO6 (PBE, the Alexandria database).

The structure in extended XYZ format:
```
20
Lattice="5.911 0.000 -0.028 0.000 6.015 0.000 0.011 0.000 8.415" Properties=species:S:1:pos:R:3 pbc="T T T"
Ac 0.066 5.763 2.102
Tm 0.005 3.007 4.207
O 1.185 1.268 0.436
O 5.343 3.211 2.032
O 1.776 4.276 3.757
O 2.393 5.811 6.253
O 0.579 2.804 6.355
Tm 2.956 0.000 -0.014
O 4.737 4.747 7.951
O 1.258 1.211 3.769
Sc 2.961 0.000 4.193
O 4.219 1.796 7.962
O 4.664 4.803 4.618
O 4.146 1.739 4.629
Ac 3.027 3.259 6.296
Sc 0.000 3.007 0.000
Ac 5.856 0.252 6.284
O 1.703 4.219 0.425
Ac 2.895 2.755 2.091
O 3.529 0.203 2.134
```

Properties
formation energy without anion corrections: -3.502 eV per atom
magnetization: 0.000 μB per atom
density: 8.5 Mg/m³